Entry 1:
# GGA-PBE Tm5Sn4, relaxed
# Energy relative to the elements in kcal/mol of atoms: -12.13
# Crystal system: tetragonal
data_Tm5Sn4
_chemical_formula_sum 'Tm5 Sn4'
_symmetry_space_group_name_H-M 'P 1'
_symmetry_Int_Tables_number 1
_cell_length_a 7.886
_cell_length_b 7.886
_cell_length_c 7.886
_cell_angle_alpha 93.86
_cell_angle_beta 93.86
_cell_angle_gamma 149.92
loop_
_symmetry_equiv_pos_as_xyz
'x,y,z'
loop_
_atom_site_label
_atom_site_type_symbol
_atom_site_fract_x
_atom_site_fract_y
_atom_site_fract_z
Tm1 Tm 0.000 0.000 0.000
Tm2 Tm 0.000 0.317 0.317
Tm3 Tm 0.000 0.683 0.683
Tm4 Tm 0.317 0.000 0.317
Tm5 Tm 0.683 0.000 0.683
Sn1 Sn 0.326 0.326 0.651
Sn2 Sn 0.326 0.674 0.000
Sn3 Sn 0.674 0.326 0.000
Sn4 Sn 0.674 0.674 0.349

=====

Entry 2:
# GGA-PBE TmHf2Zr, relaxed
# Energy relative to the elements in kcal/mol of atoms: 2.97
# Crystal system: tetragonal
# Energy above the most stable polymorph in this dataset in eV per atom: 0.037
data_TmHf2Zr
_chemical_formula_sum 'Tm1 Hf2 Zr1'
_symmetry_space_group_name_H-M 'P 1'
_symmetry_Int_Tables_number 1
_cell_length_a 4.569
_cell_length_b 4.569
_cell_length_c 4.598
_cell_angle_alpha 90.00
_cell_angle_beta 90.00
_cell_angle_gamma 90.00
loop_
_symmetry_equiv_pos_as_xyz
'x,y,z'
loop_
_atom_site_label
_atom_site_type_symbol
_atom_site_fract_x
_atom_site_fract_y
_atom_site_fract_z
Tm1 Tm 0.000 0.000 0.000
Hf1 Hf 0.000 0.500 0.500
Hf2 Hf 0.500 0.000 0.500
Zr1 Zr 0.500 0.500 0.000

=====

Entry 3:
# GGA-PBE TeMoOs2, relaxed
# Crystal system: monoclinic
# Formation energy from raw total energies in kJ/mol of formula units: 243
data_TeMoOs2
_chemical_formula_sum 'Te1 Mo1 Os2'
_symmetry_space_group_name_H-M 'P 1'
_symmetry_Int_Tables_number 1
_cell_length_a 2.924
_cell_length_b 4.244
_cell_length_c 5.482
_cell_angle_alpha 90.00
_cell_angle_beta 103.94
_cell_angle_gamma 90.00
loop_
_symmetry_equiv_pos_as_xyz
'x,y,z'
loop_
_atom_site_label
_atom_site_type_symbol
_atom_site_fract_x
_atom_site_fract_y
_atom_site_fract_z
Te1 Te 0.000 0.000 0.000
Mo1 Mo 0.000 0.000 0.500
Os1 Os 0.382 0.500 0.256
Os2 Os 0.618 0.500 0.744

=====

Number 1: volume 26.4 A^3/atom. Number 2: volume 24.0 A^3/atom. Number 3: volume 16.5 A^3/atom.